Record 1
A plane-wave DFT calculation with GGA-PBE was carried out for a relaxed structure of LiCu2PbBr6.

The magnetic moment comes out at 4.2 Bohr magnetons per cell. The formation energy from raw total energies is -0.699 eV/atom. For the volume, the calculation gives 29.31 Å³ per atom. The density of states at the Fermi level is 42.11 states/eV/cell.

The structure belongs to space group C2/c (No. 15); the cell edges are 13.365, 12.663 and 7.057 Å and the angles 90.00°, 100.95° and 90.00°. Symmetry generates all atoms from Li at (0.000, 0.202, 0.250), Cu at (0.180, 0.080, 0.799), Pb at (0.000, 0.397, 0.750), Br at (0.119, 0.230, 0.595), Br at (0.128, 0.405, 0.155) and Br at (0.138, 0.081, 0.117).

Record 2
A plane-wave DFT calculation with GGA-PBE was carried out for a relaxed structure of Ce5Hg3.

The energy relative to the lowest polymorph listed for this composition comes out at 0 meV per atom. The magnetic moment comes out at 29.3 Bohr magnetons per cell. For the volume, the calculation gives 27.55 Å³ per atom. The density of states at the Fermi level is 93.74 states/eV/cell.

The structure belongs to space group Fmmm (No. 69); the cell edges are 7.695, 7.709 and 14.863 Å and the angles 90.00°, 90.00° and 90.00°. Symmetry generates all atoms from Ce at (0.000, 0.000, 0.000), Ce at (0.250, 0.250, 0.124), Hg at (0.000, 0.000, 0.247) and Hg at (0.000, 0.000, 0.500).

Record 3
A plane-wave DFT calculation with GGA-PBE was carried out for a relaxed structure of BaNb3Cu4O12.

The magnetic moment comes out at 9.3 Bohr magnetons per cell. The formation energy from raw total energies is -1.782 eV/atom. For the volume, the calculation gives 14.07 Å³ per atom. The density of states at the Fermi level is 27.90 states/eV/cell.

The structure belongs to space group R32 (No. 155, hexagonal axes); the cell edges are 11.0762, 11.0762 and 7.9449 Å and the angles 90.00°, 90.00° and 120.00°. Symmetry generates all atoms from Ba at (0.0000, 0.0000, 0.0000), Nb at (0.0000, 0.5606, 0.0000), Cu at (0.0000, 0.0000, 0.5000), Cu at (0.0000, 0.4302, 0.5000), O at (0.0000, 0.6025, 0.5000), O at (0.0000, 0.8282, 0.5000) and O at (0.0573, 0.2168, 0.2135).

> What is the formula in the third record?

BaNb3Cu4O12